No. 1
{"formula": "Rb5Se2Br2", "functional": "PBE-GGA", "state": "relaxed", "sg": "Cmce", "rho_g_cm3": 3.45, "energy_ev_per_cell": -53.47, "lattice_angstrom": [[-5.567, 7.151, 0.062], [-5.892, -4.632, 5.143], [1.133, 6.562, 7.208]], "species": ["Rb", "Rb", "Br", "Rb", "Se", "Rb", "Rb", "Br", "Rb", "Rb", "Rb", "Br", "Se", "Rb", "Rb", "Se", "Se", "Br"], "fractional_positions": [[0.500, 0.500, 0.000], [0.205, 0.161, 0.263], [0.798, 0.000, 0.405], [0.468, 0.161, 0.737], [0.127, 0.373, 0.000], [0.968, 0.339, 0.737], [0.795, 0.839, 0.737], [0.702, 0.500, 0.595], [0.705, 0.339, 0.263], [0.532, 0.839, 0.263], [0.032, 0.661, 0.263], [0.298, 0.500, 0.405], [0.373, 0.873, 0.000], [0.295, 0.661, 0.737], [0.000, 0.000, 0.000], [0.627, 0.127, 0.000], [0.873, 0.627, 0.000], [0.202, 0.000, 0.595]]}



No. 2
{"formula": "RbSe2Br8", "functional": "PBE-GGA", "state": "relaxed", "sg": "C2/m", "rho_g_cm3": 3.48, "relative_energy_ev_per_fu": 0.00, "energy_ev_per_cell": -25.15, "lattice_angstrom": [[-6.922, 4.199, -4.987], [-3.905, -4.574, -4.523], [-6.994, -1.575, 2.288]], "species": ["Br", "Br", "Se", "Br", "Br", "Se", "Br", "Br", "Br", "Rb", "Br"], "fractional_positions": [[0.246, 0.354, 0.851], [0.754, 0.646, 0.149], [0.641, 0.854, 0.854], [0.880, 0.613, 0.613], [0.246, 0.851, 0.354], [0.359, 0.146, 0.146], [0.120, 0.387, 0.387], [0.571, 0.209, 0.209], [0.754, 0.149, 0.646], [0.000, 0.000, 0.000], [0.429, 0.791, 0.791]]}



No. 3
{"formula": "Rb4SeBr2", "functional": "PBE-GGA", "state": "relaxed", "sg": "Pnma", "rho_g_cm3": 3.19, "relative_energy_ev_per_fu": 0.00, "energy_ev_per_cell": -82.14, "lattice_angstrom": [[-2.167, -4.326, 0.488], [9.901, -3.898, 9.412], [-9.845, 6.397, 13.007]], "species": ["Rb", "Br", "Se", "Rb", "Se", "Rb", "Br", "Br", "Rb", "Se", "Rb", "Br", "Rb", "Rb", "Rb", "Br", "Rb", "Rb", "Br", "Rb", "Rb", "Se", "Rb", "Rb", "Rb", "Br", "Rb", "Br"], "fractional_positions": [[0.250, 0.669, 0.025], [0.250, 0.392, 0.607], [0.250, 0.735, 0.652], [0.250, 0.922, 0.091], [0.750, 0.765, 0.152], [0.250, 0.969, 0.706], [0.250, 0.938, 0.401], [0.250, 0.892, 0.893], [0.750, 0.531, 0.206], [0.250, 0.235, 0.848], [0.250, 0.422, 0.409], [0.750, 0.108, 0.107], [0.750, 0.078, 0.909], [0.250, 0.169, 0.475], [0.250, 0.245, 0.210], [0.750, 0.608, 0.393], [0.750, 0.031, 0.294], [0.750, 0.578, 0.591], [0.750, 0.562, 0.901], [0.250, 0.745, 0.290], [0.750, 0.255, 0.710], [0.750, 0.265, 0.348], [0.750, 0.755, 0.790], [0.750, 0.331, 0.975], [0.250, 0.469, 0.794], [0.750, 0.062, 0.599], [0.750, 0.831, 0.525], [0.250, 0.438, 0.099]]}



No. 4
{"formula": "RbSeBr6", "functional": "PBE-GGA", "state": "relaxed", "sg": "R-3m", "rho_g_cm3": 3.52, "relative_energy_ev_per_fu": 0.18, "energy_ev_per_cell": -17.85, "lattice_angstrom": [[-5.244, -0.008, -5.078], [0.739, -4.088, -6.003], [-4.456, -6.391, -0.635]], "species": ["Rb", "Br", "Br", "Br", "Br", "Se", "Br", "Br"], "fractional_positions": [[0.500, 0.500, 0.500], [0.910, 0.910, 0.771], [0.591, 0.090, 0.229], [0.090, 0.591, 0.229], [0.409, 0.910, 0.771], [0.000, 0.000, 0.000], [0.910, 0.409, 0.771], [0.090, 0.090, 0.229]]}



No. 5
{"formula": "Rb2Se4Br5", "functional": "PBE-GGA", "state": "relaxed", "sg": "C2/m", "rho_g_cm3": 2.61, "energy_ev_per_cell": -30.76, "lattice_angstrom": [[-7.831, 1.675, 3.583], [-2.712, -2.888, 6.164], [-0.357, 11.601, 4.536]], "species": ["Br", "Se", "Br", "Rb", "Se", "Br", "Se", "Br", "Rb", "Se", "Br"], "fractional_positions": [[0.783, 0.874, 0.143], [0.405, 0.035, 0.155], [0.217, 0.126, 0.857], [0.260, 0.618, 0.862], [0.595, 0.965, 0.845], [0.000, 0.500, 0.500], [0.848, 0.567, 0.737], [0.800, 0.126, 0.857], [0.740, 0.382, 0.138], [0.152, 0.433, 0.263], [0.200, 0.874, 0.143]]}



No. 6
{"formula": "RbSeBr5", "functional": "PBE-GGA", "state": "relaxed", "sg": "Imm2", "rho_g_cm3": 3.02, "energy_ev_per_cell": -16.67, "lattice_angstrom": [[6.141, 0.000, 2.743], [2.187, 6.561, 3.348], [0.256, -0.372, 7.671]], "species": ["Br", "Br", "Br", "Br", "Rb", "Se", "Br"], "fractional_positions": [[0.184, 0.700, 0.700], [0.577, 0.188, 0.812], [0.585, 0.300, 0.300], [0.943, 0.500, 0.500], [0.089, 0.000, 0.000], [0.576, 0.500, 0.500], [0.577, 0.812, 0.188]]}



No. 7
{"formula": "Rb3SeBr6", "functional": "PBE-GGA", "state": "relaxed", "sg": "P2_1/c", "rho_g_cm3": 3.35, "relative_energy_ev_per_fu": 0.00, "energy_ev_per_cell": -53.75, "lattice_angstrom": [[8.561, 0.000, -0.816], [0.000, 7.499, 0.000], [-1.166, 0.000, 12.695]], "species": ["Br", "Rb", "Se", "Br", "Br", "Rb", "Br", "Br", "Rb", "Br", "Br", "Se", "Br", "Br", "Rb", "Rb", "Br", "Br", "Br", "Rb"], "fractional_positions": [[0.169, 0.283, 0.050], [0.491, 0.948, 0.726], [0.500, 0.500, 0.500], [0.894, 0.017, 0.232], [0.331, 0.783, 0.450], [0.991, 0.552, 0.226], [0.831, 0.717, 0.950], [0.740, 0.695, 0.584], [0.509, 0.052, 0.274], [0.669, 0.217, 0.550], [0.240, 0.805, 0.084], [0.000, 0.000, 0.000], [0.606, 0.517, 0.268], [0.394, 0.483, 0.732], [0.009, 0.448, 0.774], [0.000, 0.000, 0.500], [0.760, 0.195, 0.916], [0.106, 0.983, 0.768], [0.260, 0.305, 0.416], [0.500, 0.500, 0.000]]}



No. 8
{"formula": "RbSe2Br", "functional": "PBE-GGA", "state": "relaxed", "sg": "I-42d", "rho_g_cm3": 3.08, "relative_energy_ev_per_fu": 3.01, "energy_ev_per_cell": -19.79, "lattice_angstrom": [[6.777, 0.000, 0.000], [0.000, 6.777, 0.000], [3.389, 3.389, 7.578]], "species": ["Se", "Br", "Se", "Se", "Rb", "Br", "Se", "Rb"], "fractional_positions": [[0.375, 0.521, 0.750], [0.500, 0.500, 0.000], [0.271, 0.625, 0.250], [0.875, 0.729, 0.750], [0.000, 0.000, 0.000], [0.250, 0.750, 0.500], [0.479, 0.125, 0.250], [0.750, 0.250, 0.500]]}